DFT (GGA-PBE) results for a geometry-optimized PrYHo3Sc structure.

The structure in POSCAR format:
```
PrYHo3Sc
1.0
-2.243 1.820 -2.079
-7.312 -3.489 4.833
3.690 10.111 4.871
Pr Y Ho Sc
2 2 6 2
Cartesian
0.810 6.393 3.200
-6.674 2.049 4.425
-5.227 5.154 5.582
-0.637 3.288 2.043
-3.222 2.525 4.164
-8.110 -0.921 3.373
-3.506 1.747 0.742
-2.642 5.917 3.461
-2.359 6.696 6.883
2.246 9.363 4.252
-4.651 -0.520 3.039
-1.214 8.962 4.586
```

Summary:
* energy of formation from the pure elements: 24 meV per atom
* calculated volume: 372 Å³ per cell
* D(E_F): 9.0 states/eV/f.u.
* SG: P2_1/m


DFT (GGA-PBE) results for a geometry-optimized Pr2Y3Ho6Sc structure.

The structure in POSCAR format:
```
Pr2Y3Ho6Sc
1.0
-5.889 -1.553 -0.741
3.724 0.313 -4.866
3.489 -10.758 3.263
Pr Y Ho Sc
2 3 6 1
Cartesian
0.517 -0.310 -3.490
-2.683 -0.931 -2.117
3.871 -5.376 -2.549
-2.547 -6.622 0.205
0.662 -5.999 -1.172
-0.598 -9.309 -1.088
-0.757 -3.629 -3.406
1.921 -2.690 -1.256
2.575 -8.693 -2.449
2.081 -8.370 1.062
-1.251 -3.306 0.105
0.000 0.000 0.000
```

Summary:
* energy of formation from the pure elements: 30 meV per atom
* calculated volume: 378 Å³ per cell
* D(E_F): 16.4 states/eV/f.u.
* SG: C2/m


DFT (GGA-PBE) results for a geometry-optimized PrHo4Se6 structure.

The structure in POSCAR format:
```
PrHo4Se6
1.0
-0.860 -3.583 -1.630
5.699 -0.885 3.919
-11.963 -4.571 16.365
Pr Ho Se
2 8 12
Cartesian
-1.795 -3.760 4.234
-5.329 -5.279 14.420
-3.072 -6.176 10.220
2.812 -2.765 4.595
-4.052 -2.863 8.434
-9.935 -6.274 14.059
-8.149 -8.116 17.165
1.025 -0.923 1.489
-6.957 -5.136 9.985
-0.166 -3.903 8.669
-0.430 -1.792 -0.815
-6.412 -4.077 7.368
-3.510 -1.799 5.808
-3.613 -7.241 12.847
-5.680 -8.030 15.674
-1.443 -1.009 2.980
-2.513 -5.097 7.553
-4.610 -3.942 11.102
-8.434 -5.403 16.332
1.310 -3.636 2.322
0.375 -2.853 6.074
-7.499 -6.187 12.580
```

Summary:
* calculated volume: 559 Å³ per cell
* formation energy (no corrections): -1.825 eV per atom
* D(E_F): 2.9 states/eV/f.u.
* SG: Cmcm


DFT (GGA-PBE) results for a geometry-optimized PrHo3Se4 structure.

The structure in POSCAR format:
```
PrHo3Se4
1.0
4.069 0.000 0.000
-2.035 3.524 0.000
0.000 0.000 27.429
Pr Ho Se
2 6 8
Cartesian
2.035 1.175 20.572
0.000 2.349 6.857
0.000 0.000 0.000
0.000 0.000 13.715
0.000 2.349 24.125
2.035 1.175 3.305
2.035 1.175 10.410
0.000 2.349 17.020
2.035 1.175 25.770
0.000 2.349 1.659
0.000 2.349 12.056
2.035 1.175 15.374
0.000 0.000 22.489
0.000 0.000 4.941
0.000 0.000 8.774
0.000 0.000 18.655
```

Summary:
* offset from the most stable computed form: 0 meV/atom
* calculated volume: 393 Å³ per cell
* formation energy (no corrections): -1.751 eV per atom
* D(E_F): 4.6 states/eV/f.u.
* SG: P6_3/mmc


| no. | raw total energy (eV per atom) |
| --- | --- |
| 1 | -5.19 |
| 2 | -5.20 |
| 3 | -5.82 |
| 4 | -5.81 |